Entry from Alexandria: a relaxed ZrIn2Si crystal (GGA-PBE).

Computed properties:
Space group: R3m, No. 160
Energy relative to the elements, uncorrected, kJ/mol of atoms: 1
Density, g cm⁻³: 6.5

Cell: 9.5366 9.5366 9.5366 Å, 19.97 19.97 19.97°
Sites, in units of the cell vectors:
In1 0.0017 0.0017 0.0017
In2 0.2432 0.2432 0.2432
Si1 0.4975 0.4975 0.4975
Zr1 0.7575 0.7575 0.7575